one) DFT (PBE) results for an optimized crystal structure of Pr2ThHg. Values from VASP.

Structure (Quantum ESPRESSO input):
```
&SYSTEM
  ibrav = 0, nat = 4, ntyp = 3
/
ATOMIC_SPECIES
Hg 200.59 Hg.upf
Pr 140.91 Pr.upf
Th 232.04 Th.upf
ATOMIC_POSITIONS angstrom
Hg 2.478 2.481 2.481
Pr 0.000 2.481 0.000
Pr 0.000 0.000 2.481
Th 2.478 0.000 0.000
CELL_PARAMETERS angstrom
4.956 0.000 0.000
0.000 4.962 0.000
0.000 0.000 4.962
```

Summary:
- Crystal system: tetragonal

two) DFT (PBE) results for an optimized crystal structure of Pr2ThHg. Values from VASP.

Structure (Quantum ESPRESSO input):
```
&SYSTEM
  ibrav = 0, nat = 4, ntyp = 3
/
ATOMIC_SPECIES
Pr 140.91 Pr.upf
Hg 200.59 Hg.upf
Th 232.04 Th.upf
ATOMIC_POSITIONS angstrom
Pr 1.756 1.014 8.683
Hg 3.512 2.028 6.071
Pr 5.269 3.042 3.459
Th 0.000 0.000 0.000
CELL_PARAMETERS angstrom
3.512 0.000 0.000
1.756 3.042 0.000
1.756 1.014 12.142
```

Summary:
- Crystal system: trigonal

three) DFT (PBE) results for an optimized crystal structure of Pr2ThHg. Values from VASP.

Structure (Quantum ESPRESSO input):
```
&SYSTEM
  ibrav = 0, nat = 4, ntyp = 3
/
ATOMIC_SPECIES
Th 232.04 Th.upf
Hg 200.59 Hg.upf
Pr 140.91 Pr.upf
ATOMIC_POSITIONS angstrom
Th 0.000 0.000 0.000
Hg -1.085 2.225 6.376
Pr -0.542 1.112 3.188
Pr -1.627 3.337 9.564
CELL_PARAMETERS angstrom
-2.205 4.099 3.086
-2.422 -1.181 4.891
2.458 1.532 4.775
```

Summary:
- Crystal system: cubic

four) DFT (PBE) results for an optimized crystal structure of Pr2ThHg. Values from VASP.

Structure (Quantum ESPRESSO input):
```
&SYSTEM
  ibrav = 0, nat = 4, ntyp = 3
/
ATOMIC_SPECIES
Hg 200.59 Hg.upf
Th 232.04 Th.upf
Pr 140.91 Pr.upf
ATOMIC_POSITIONS angstrom
Hg 1.853 1.853 0.000
Th 1.853 1.853 4.533
Pr 0.000 0.000 2.096
Pr 0.000 0.000 6.970
CELL_PARAMETERS angstrom
3.707 0.000 0.000
0.000 3.707 0.000
0.000 0.000 9.066
```

Summary:
- Crystal system: tetragonal

Need the numbers? Relative energies in meV per atom: one) 133; two) 323; three) 267; four) 0.